DFT (GGA-PBE) results for an optimized crystal structure of RbPr2GeO5.

## Properties
Space group ... I4/mcm (140)
Formation energy without anion corrections ... -2.3186 eV/atom

Structure (POSCAR):
```
RbPr2GeO5
1.0
-3.4875 3.4875 5.9151
3.4875 -3.4875 5.9151
3.4875 3.4875 -5.9151
Rb Pr Ge O
2 4 2 10
direct
0.2500 0.2500 0.0000
0.7500 0.7500 0.0000
0.1791 0.6791 0.8582
0.3209 0.1791 0.5000
0.6791 0.8209 0.5000
0.8209 0.3209 0.1418
0.2500 0.7500 0.5000
0.7500 0.2500 0.5000
0.0000 0.0000 0.0000
0.0062 0.2378 0.5000
0.2378 0.7378 0.2315
0.2622 0.4938 0.5000
0.4938 0.9938 0.2315
0.5000 0.5000 0.0000
0.5062 0.0062 0.7685
0.7378 0.5062 0.5000
0.7622 0.2622 0.7685
0.9938 0.7622 0.5000
```

---

DFT (GGA-PBE) results for an optimized crystal structure of PrScGeO5.

## Properties
Space group ... C2/c (15)
Formation energy without anion corrections ... -2.8243 eV/atom

Structure (POSCAR):
```
PrScGeO5
1.0
3.4539 -4.6727 0.0000
3.4539 4.6727 0.0000
-2.7284 0.0000 6.7628
Pr Sc Ge O
2 2 2 10
direct
0.1715 0.8285 0.7500
0.8285 0.1715 0.2500
0.5000 0.5000 0.0000
0.5000 0.5000 0.5000
0.1761 0.8239 0.2500
0.8239 0.1761 0.7500
0.1159 0.2326 0.9273
0.1724 0.6022 0.3845
0.2326 0.1159 0.4273
0.3978 0.8276 0.1155
0.4136 0.5864 0.7500
0.5864 0.4136 0.2500
0.6022 0.1724 0.8845
0.7674 0.8841 0.5727
0.8276 0.3978 0.6155
0.8841 0.7674 0.0727
```

---

DFT (GGA-PBE) results for an optimized crystal structure of Pr8Ge3Se4O.

## Properties
Space group ... C2/m (12)
Formation energy without anion corrections ... -1.5633 eV/atom

Structure (POSCAR):
```
Pr8Ge3Se4O
1.0
7.3092 -4.2172 0.0000
7.3092 4.2172 0.0000
-4.8713 0.0000 7.0036
Pr Ge Se O
8 3 4 1
direct
0.2368 0.7555 0.7290
0.2392 0.2392 0.7315
0.2445 0.7632 0.2710
0.2519 0.2519 0.2557
0.7481 0.7481 0.7443
0.7555 0.2368 0.7290
0.7608 0.7608 0.2685
0.7632 0.2445 0.2710
0.0000 0.5000 0.5000
0.5000 0.0000 0.5000
0.5000 0.5000 0.5000
0.0000 0.0000 0.0000
0.0000 0.5000 0.0000
0.5000 0.0000 0.0000
0.5000 0.5000 0.0000
0.0000 0.0000 0.5000
```

---

DFT (GGA-PBE) results for an optimized crystal structure of Pr2Sm4Ge3O2.

## Properties
Space group ... I4/mmm (139)
Formation energy without anion corrections ... -1.5160 eV/atom

Structure (POSCAR):
```
Pr2Sm4Ge3O2
1.0
-2.3375 2.3375 12.3226
2.3375 -2.3375 12.3226
2.3375 2.3375 -12.3226
Pr Sm Ge O
2 4 3 2
direct
0.1980 0.1980 0.0000
0.8020 0.8020 0.0000
0.0795 0.5795 0.5000
0.4205 0.9205 0.5000
0.5795 0.0795 0.5000
0.9205 0.4205 0.5000
0.3260 0.3260 0.0000
0.5000 0.5000 0.0000
0.6740 0.6740 0.0000
0.0966 0.0966 0.0000
0.9034 0.9034 0.0000
```

---

DFT (GGA-PBE) results for an optimized crystal structure of Sr2PrGeO6.

## Properties
Space group ... Fm-3m (225)
Formation energy without anion corrections ... -2.3667 eV/atom

Structure (POSCAR):
```
Sr2PrGeO6
1.0
0.0000 4.2117 4.2117
4.2117 0.0000 4.2117
4.2117 4.2117 0.0000
Sr Pr Ge O
2 1 1 6
direct
0.2500 0.2500 0.2500
0.7500 0.7500 0.7500
0.0000 0.0000 0.0000
0.5000 0.5000 0.5000
0.2742 0.2742 0.7258
0.2742 0.7258 0.2742
0.2742 0.7258 0.7258
0.7258 0.2742 0.2742
0.7258 0.2742 0.7258
0.7258 0.7258 0.2742
```

---

DFT (GGA-PBE) results for an optimized crystal structure of Tb4Pr2Ge3O2.

## Properties
Space group ... I4/mmm (139)
Formation energy without anion corrections ... -1.5706 eV/atom

Structure (POSCAR):
```
Tb4Pr2Ge3O2
1.0
-2.2988 2.2988 12.1804
2.2988 -2.2988 12.1804
2.2988 2.2988 -12.1804
Tb Pr Ge O
4 2 3 2
direct
0.0792 0.5792 0.5000
0.4208 0.9208 0.5000
0.5792 0.0792 0.5000
0.9208 0.4208 0.5000
0.1978 0.1978 0.0000
0.8022 0.8022 0.0000
0.3281 0.3281 0.0000
0.5000 0.5000 0.0000
0.6719 0.6719 0.0000
0.0921 0.0921 0.0000
0.9079 0.9079 0.0000
```

---

DFT (GGA-PBE) results for an optimized crystal structure of Tb2Pr4Ge3O2.

## Properties
Space group ... I4/mmm (139)
Formation energy without anion corrections ... -1.4474 eV/atom

Structure (POSCAR):
```
Tb2Pr4Ge3O2
1.0
-2.3709 2.3709 12.1626
2.3709 -2.3709 12.1626
2.3709 2.3709 -12.1626
Tb Pr Ge O
2 4 3 2
direct
0.2002 0.2002 0.0000
0.7998 0.7998 0.0000
0.0818 0.5818 0.5000
0.4182 0.9182 0.5000
0.5818 0.0818 0.5000
0.9182 0.4182 0.5000
0.3223 0.3223 0.0000
0.5000 0.5000 0.0000
0.6777 0.6777 0.0000
0.1077 0.1077 0.0000
0.8923 0.8923 0.0000
```

---

DFT (GGA-PBE) results for an optimized crystal structure of Pr8Ge3Te4O.

## Properties
Space group ... R-3m (166)
Formation energy without anion corrections ... -1.3657 eV/atom

Structure (POSCAR):
```
Pr8Ge3Te4O
1.0
4.3104 2.4886 7.3475
-4.3104 2.4886 7.3475
0.0000 -4.9773 7.3475
Pr Ge Te O
8 3 4 1
direct
0.2426 0.2426 0.2426
0.2499 0.7319 0.7319
0.2681 0.2681 0.7501
0.2681 0.7501 0.2681
0.7319 0.2499 0.7319
0.7319 0.7319 0.2499
0.7501 0.2681 0.2681
0.7574 0.7574 0.7574
0.0000 0.0000 0.5000
0.0000 0.5000 0.0000
0.5000 0.0000 0.0000
0.0000 0.0000 0.0000
0.0000 0.5000 0.5000
0.5000 0.0000 0.5000
0.5000 0.5000 0.0000
0.5000 0.5000 0.5000
```

---

no.,ρ (g/cm³),spin magnetization (μB/cell),calculated total energy (eV/atom)
1,6.0,1.6,-6.76
2,5.1,0.0,-7.89
3,6.4,0.0,-6.00
4,7.0,0.0,-6.26
5,5.4,1.0,-6.62
6,7.5,0.2,-6.28
7,6.9,0.0,-6.19
8,6.6,0.0,-5.72